Below is an optimized crystal structure of LiLa4Ce3Se8, with properties calculated at the PBE level.

abc: 8.4977 8.4977 8.4981
angles: 120.00 120.00 90.00
Closest atoms and distances in Å follow each position.
Atoms (fractional coordinates):
Se 0.2425 0.7380 0.4851  1 Li 2.92, 2 Ce 2.98, 3 La 3.03-3.09
Se 0.2470 0.2619 0.0045  1 Li 2.91, 2 Ce 2.98, 3 La 3.03-3.09
Se 0.7575 0.2620 0.0045  1 Li 2.91, 2 Ce 2.98, 3 La 3.03-3.09
La 0.5000 0.0000 0.5000  6 Se 3.03
Se 0.2522 0.2566 0.5044  3 Ce 2.98, 3 La 3.03
Ce 0.5000 0.5000 0.5000  6 Se 2.98
Se 0.7575 0.2620 0.5149  1 Li 2.92, 2 Ce 2.98, 3 La 3.03-3.09
Se 0.2425 0.7380 0.9955  1 Li 2.91, 2 Ce 2.98, 3 La 3.03-3.09
Ce 0.5000 0.5000 0.0000  6 Se 2.98
Li 0.0000 0.5000 0.0000  6 Se 2.91-2.92
Ce 0.0000 0.5000 0.5000  6 Se 2.98
Se 0.7530 0.7381 0.9955  1 Li 2.91, 2 Ce 2.98, 3 La 3.03-3.09
La 0.5000 0.0000 0.0000  6 Se 3.09
Se 0.7478 0.7434 0.4956  3 Ce 2.98, 3 La 3.03
La 0.0000 0.0000 0.0000  6 Se 3.03
La 0.0000 0.0000 0.5000  6 Se 3.03

Raw formation energy (eV per atom): -1.85
Total magnetization (μB per cell): 3.5
Energy (eV/atom): -6.061

---

Below is an optimized crystal structure of LiLa2Ce3Se6, with properties calculated at the PBE level.

abc: 7.3024 7.3024 7.3654
angles: 99.57 99.57 120.06
Closest atoms and distances in Å follow each position.
Atoms (fractional coordinates):
Ce 0.1691 0.8309 0.5000  6 Se 2.97-3.05
La 0.3342 0.6658 0.0000  6 Se 3.02
Li 0.0000 0.0000 0.0000  6 Se 2.90-2.92
Se 0.9181 0.5967 0.7529  1 Li 2.90, 3 Ce 2.97-3.05, 2 La 3.02
Se 0.2383 0.2383 0.7497  1 Li 2.92, 3 Ce 2.98-3.06, 2 La 3.02
Se 0.7617 0.7617 0.2503  1 Li 2.92, 3 Ce 2.98-3.06, 2 La 3.02
Se 0.4033 0.0819 0.2471  1 Li 2.90, 3 Ce 2.97-3.05, 2 La 3.02
Se 0.0819 0.4033 0.2471  1 Li 2.90, 3 Ce 2.97-3.05, 2 La 3.02
Ce 0.5000 0.5000 0.5000  6 Se 2.97-3.06
Ce 0.8309 0.1691 0.5000  6 Se 2.97-3.05
La 0.6658 0.3342 0.0000  6 Se 3.02
Se 0.5967 0.9181 0.7529  1 Li 2.90, 3 Ce 2.97-3.05, 2 La 3.02

Raw formation energy (eV per atom): -1.80
Total magnetization (μB per cell): 3.5
Energy (eV/atom): -6.007

---

Below is an optimized crystal structure of LiLaCeSe3, with properties calculated at the PBE level.

abc: 4.1085 8.7335 9.0296
angles: 102.38 90.00 90.00
Closest atoms and distances in Å follow each position.
Atoms (fractional coordinates):
Li 0.2500 0.0861 0.5849  4 Se 2.53, 2 Li 2.80
Se 0.7500 0.2102 0.4962  3 Li 2.53
Se 0.2500 0.7898 0.5038  3 Li 2.53
La 0.2500 0.1784 0.2221  7 Se 3.03-3.18
La 0.7500 0.8216 0.7779  7 Se 3.03-3.18
Se 0.7500 0.4194 0.1763  3 Ce 2.95-3.00, 2 La 3.03
Li 0.7500 0.9139 0.4151  4 Se 2.53, 2 Li 2.80
Se 0.2500 0.0969 0.8666  1 Li 2.53
Ce 0.2500 0.6591 0.1636  6 Se 2.95-3.04
Ce 0.7500 0.3409 0.8364  6 Se 2.95-3.04
Se 0.7500 0.9031 0.1334  1 Li 2.53
Se 0.2500 0.5806 0.8237  3 Ce 2.95-3.00, 2 La 3.03

Raw formation energy (eV per atom): -1.71
Total magnetization (μB per cell): 2.8
Energy (eV/atom): -5.583